DFT (PBE) results for crystalline Nb2VNi9 at its relaxed geometry.

Values from the calculation:
Symmetry ... R-3m (166)
Final energy ... -6.84 eV per atom
M_tot ... 1.4 Bohr magnetons per cell

```
data_Nb2VNi9
_cell_length_a 4.7175
_cell_length_b 4.7179
_cell_length_c 8.2846
_cell_angle_alpha 73.47
_cell_angle_beta 73.48
_cell_angle_gamma 59.99
_symmetry_space_group_name_H-M 'P 1'
_symmetry_Int_Tables_number 1
loop_
_symmetry_equiv_pos_as_xyz
'x,y,z'
loop_
_atom_site_label
_atom_site_type_symbol
_atom_site_fract_x
_atom_site_fract_y
_atom_site_fract_z
Nb1 Nb 0.1371 0.1373 0.5886
Nb2 Nb 0.8629 0.8627 0.4114
V1 V 0.0000 0.0000 0.0000
Ni1 Ni 0.3333 0.3339 0.9993
Ni2 Ni 0.6667 0.6661 0.0007
Ni3 Ni 0.5000 0.5000 0.5000
Ni4 Ni 0.5866 0.5870 0.7452
Ni5 Ni 0.5865 0.0813 0.7451
Ni6 Ni 0.0809 0.5872 0.7448
Ni7 Ni 0.4134 0.4130 0.2548
Ni8 Ni 0.9191 0.4128 0.2552
Ni9 Ni 0.4135 0.9187 0.2549
```